First-principles (PBE) data for a relaxed Tb6YTm2Th crystal, as listed in the Alexandria database.

abc: 8.766 8.766 9.390
angles: 93.00 93.00 116.32
Sites, in units of the cell vectors:
Tb1 0.013 0.568 0.183
Tb2 0.115 0.765 0.559
Tb3 0.235 0.885 0.941
Tb4 0.292 0.519 0.385
Tb5 0.432 0.987 0.317
Tb6 0.481 0.708 0.115
Tb7 0.519 0.292 0.885
Tb8 0.568 0.013 0.683
Tb9 0.708 0.481 0.615
Tb10 0.765 0.115 0.059
Tb11 0.885 0.235 0.441
Tb12 0.987 0.432 0.817
Y1 0.410 0.590 0.750
Y2 0.590 0.410 0.250
Tm1 0.202 0.302 0.053
Tm2 0.302 0.202 0.553
Tm3 0.698 0.798 0.447
Tm4 0.798 0.698 0.947
Th1 0.034 0.966 0.250
Th2 0.966 0.034 0.750

Results
* energy of formation: 14 kJ/mol of atoms
* magnetization: 0.000 μB per formula unit
* calculated total energy: -4.914 eV per atom
* space group: C2/c (15)
* density of states at the Fermi level: 14.80 states/eV/f.u.